Version i
Entry from Alexandria via LeMat-Bulk: a geometry-optimized AcErS3 structure (PBE).

The structure in POSCAR format:
```
AcErS3
1.0
-0.9131 -2.3916 -3.2411
6.4049 -2.0285 -0.3076
-1.8734 -6.7505 5.5091
S Ac Er
6 2 2
direct
0.2500 0.0128 0.3434
0.2500 0.4872 0.3434
0.7500 0.5128 0.6566
0.7500 0.7500 0.0815
0.7500 0.9872 0.6566
0.2500 0.2500 0.9185
0.7500 0.2500 0.1496
0.2500 0.7500 0.8504
0.7500 0.7500 0.4027
0.2500 0.2500 0.5973
```

SG	Pmmn, No. 59
calculated volume	248	Å³ per cell

=====

Version ii
Entry from Alexandria via LeMat-Bulk: a geometry-optimized AcErS3 structure (PBE).

The structure in POSCAR format:
```
AcErS3
1.0
-2.2772 1.8244 2.8486
-3.7273 -7.2360 1.6547
10.2629 -2.9747 10.1095
S Ac Er
12 4 4
direct
0.2500 0.3398 0.5408
0.2500 0.4987 0.1103
0.2500 0.8398 0.9592
0.7500 0.3363 0.2917
0.7500 0.1602 0.0408
0.7500 0.6602 0.4592
0.2500 0.9987 0.3897
0.2500 0.6637 0.7083
0.7500 0.0013 0.6103
0.7500 0.5013 0.8897
0.2500 0.1637 0.7917
0.7500 0.8363 0.2083
0.2500 0.1231 0.1917
0.7500 0.3769 0.6917
0.2500 0.6231 0.3083
0.7500 0.8769 0.8083
0.7500 0.1840 0.4537
0.7500 0.6840 0.0463
0.2500 0.8160 0.5463
0.2500 0.3160 0.9537
```

SG	Pnma, No. 62
calculated volume	498	Å³ per cell

=====

Most favorable structure: version ii. The second most favorable one is 0.028 eV/atom above it.

=====

Version i
Entry from Alexandria via LeMat-Bulk: a geometry-optimized AcErSb2 structure (PBE).

The structure in POSCAR format:
```
AcErSb2
1.0
-1.2889 -1.4383 -5.2270
4.0504 -1.0299 -3.6857
0.9066 -5.2086 -1.7606
Ac Er Sb
1 1 2
direct
0.5000 0.5000 0.5000
0.0000 0.0000 0.0000
0.2500 0.2500 0.2500
0.7500 0.7500 0.7500
```

SG	Fm-3m, No. 225
calculated volume	122	Å³ per cell

=====

Version ii
Entry from Alexandria via LeMat-Bulk: a geometry-optimized AcErSb2 structure (PBE).

The structure in POSCAR format:
```
AcErSb2
1.0
-3.8912 0.2125 -0.2186
-0.0953 -3.5066 -1.7116
-0.5911 -3.4727 7.1473
Ac Er Sb
1 1 2
direct
0.5000 0.5000 0.5000
0.5000 0.5000 0.0000
0.0000 0.0000 0.2245
0.0000 0.0000 0.7755
```

SG	P4/mmm, No. 123
calculated volume	121	Å³ per cell

=====

Version iii
Entry from Alexandria via LeMat-Bulk: a geometry-optimized AcErSb2 structure (PBE).

The structure in POSCAR format:
```
AcErSb2
1.0
4.5478 0.0000 0.0000
-2.2739 3.9385 0.0000
0.0000 0.0000 15.0635
Sb Ac Er
4 2 2
direct
0.6667 0.3333 0.6110
0.6667 0.3333 0.8890
0.3333 0.6667 0.3890
0.3333 0.6667 0.1110
0.3333 0.6667 0.7500
0.6667 0.3333 0.2500
0.0000 0.0000 0.5000
0.0000 0.0000 0.0000
```

SG	P6_3/mmc, No. 194
calculated volume	270	Å³ per cell

=====

Most favorable structure: version iii. The second most favorable one is 0.272 eV/atom above it.

=====

Version i
Entry from Alexandria via LeMat-Bulk: a geometry-optimized AcErSb2 structure (PBE).

The structure in POSCAR format:
```
AcErSb2
1.0
-1.9975 2.8661 -2.8622
0.4839 -0.5543 -4.4560
-6.8090 -3.7459 -2.5622
Ac Sb Er
1 2 1
direct
0.4979 0.4979 0.5064
0.2591 0.2591 0.2226
0.0744 0.0744 0.7768
0.6686 0.6686 0.9942
```

SG	R3m, No. 160
calculated volume	137	Å³ per cell

=====

Version ii
Entry from Alexandria via LeMat-Bulk: a geometry-optimized AcErSb2 structure (PBE).

The structure in POSCAR format:
```
AcErSb2
1.0
4.5653 0.0000 0.0000
0.0000 6.5376 0.0000
0.0000 0.0000 9.1518
Sb Er Ac
4 2 2
direct
0.5000 0.5000 0.6054
0.5000 0.5000 0.1430
0.0000 0.0000 0.3946
0.0000 0.0000 0.8570
0.5000 0.0000 0.6227
0.0000 0.5000 0.3773
0.5000 0.0000 0.1308
0.0000 0.5000 0.8692
```

SG	Pmmn, No. 59
calculated volume	273	Å³ per cell

=====

Version iii
Entry from Alexandria via LeMat-Bulk: a geometry-optimized AcErSb2 structure (PBE).

The structure in POSCAR format:
```
AcErSb2
1.0
4.5830 0.0000 0.0000
2.2915 3.9690 0.0000
2.2915 1.3230 7.4550
Er Sb Ac
1 2 1
direct
0.5000 0.5000 0.5000
0.7585 0.7585 0.7244
0.2415 0.2415 0.2756
0.0000 0.0000 0.0000
```

SG	R-3m, No. 166
calculated volume	136	Å³ per cell

=====

Most favorable structure: version iii. The second most favorable one is 0.022 eV/atom above it.

=====

Version i
Entry from Alexandria via LeMat-Bulk: a geometry-optimized AcErSb structure (PBE).

The structure in POSCAR format:
```
AcErSb
1.0
4.3646 0.0000 0.0000
0.0000 5.2129 0.0000
0.0000 -2.6065 4.5145
Sb Er Ac
1 1 1
direct
0.1652 0.0000 0.0000
0.1676 0.6667 0.3333
0.6672 0.3333 0.6667
```

SG	P3m1, No. 156
calculated volume	103	Å³ per cell

=====

Version ii
Entry from Alexandria via LeMat-Bulk: a geometry-optimized AcErSb structure (PBE).

The structure in POSCAR format:
```
AcErSb
1.0
-1.6562 -3.0301 2.1541
3.3870 -2.2021 -0.4935
1.3967 4.9652 4.2133
Sb Er Ac
1 1 1
direct
0.6423 0.6423 0.2846
0.2501 0.2501 0.5002
0.9576 0.9576 0.9152
```

SG	I4mm, No. 107
calculated volume	99	Å³ per cell

=====

Most favorable structure: version ii. The second most favorable one is 0.116 eV/atom above it.

=====

Version i
Entry from Alexandria via LeMat-Bulk: a geometry-optimized AcErSc structure (PBE).

The structure in POSCAR format:
```
AcErSc
1.0
-2.3004 -2.4255 -1.0989
3.9068 -4.0295 0.7155
-3.4702 1.3632 4.2557
Sc Er Ac
1 1 1
direct
0.1678 0.3333 0.6667
0.6662 0.6667 0.3333
0.1660 0.0000 0.0000
```

SG	P3m1, No. 156
calculated volume	98	Å³ per cell

=====

Version ii
Entry from Alexandria via LeMat-Bulk: a geometry-optimized AcErSc structure (PBE).

The structure in POSCAR format:
```
AcErSc
1.0
-3.5213 1.8998 0.3859
-1.7051 -3.4159 1.2576
4.0173 2.1861 4.9608
Er Sc Ac
1 1 1
direct
0.3143 0.3143 0.6285
0.6793 0.6793 0.3586
0.0064 0.0064 0.0129
```

SG	I4mm, No. 107
calculated volume	99	Å³ per cell

=====

Most favorable structure: version ii. The second most favorable one is 0.072 eV/atom above it.

=====

Version i
Entry from Alexandria via LeMat-Bulk: a geometry-optimized AcErSe2 structure (PBE).

The structure in POSCAR format:
```
AcErSe2
1.0
-0.2049 -3.3682 2.8612
-1.3353 -4.2784 -5.1331
9.3072 -1.5353 -1.1415
Ac Se Er
2 4 2
direct
0.7010 0.4284 0.5141
0.2010 0.9284 0.7019
0.7010 0.5711 0.1916
0.7009 0.6328 0.7961
0.2010 0.0711 0.0244
0.2009 0.1328 0.4198
0.7011 0.3011 0.9586
0.2010 0.8010 0.2573
```

SG	Pmn2_1, No. 31
calculated volume	286	Å³ per cell

=====

Version ii
Entry from Alexandria via LeMat-Bulk: a geometry-optimized AcErSe2 structure (PBE).

The structure in POSCAR format:
```
AcErSe2
1.0
5.2289 0.0000 0.0000
2.6145 4.5284 0.0000
2.6145 1.5095 4.2694
Ac Se Er
1 2 1
direct
0.5000 0.5000 0.5000
0.7500 0.7500 0.7500
0.2500 0.2500 0.2500
0.0000 0.0000 0.0000
```

SG	Fm-3m, No. 225
calculated volume	101	Å³ per cell

=====

Most favorable structure: version ii. The second most favorable one is 0.078 eV/atom above it.

=====

Version i
Entry from Alexandria via LeMat-Bulk: a geometry-optimized AcSm12Er7 structure (PBE).

The structure in POSCAR format:
```
AcSm12Er7
1.0
9.4255 0.0000 -3.3324
-4.7127 8.1627 -3.3324
0.0000 0.0000 9.9972
Sm Er Ac
12 7 1
direct
0.5363 0.2702 0.2661
0.7298 0.2661 0.9959
0.9959 0.7298 0.2661
0.7339 0.4637 0.7298
0.7339 0.0041 0.2702
0.4637 0.7298 0.7339
0.2702 0.7339 0.0041
0.2702 0.2661 0.5363
0.7298 0.7339 0.4637
0.0041 0.2702 0.7339
0.2661 0.5363 0.2702
0.2661 0.9959 0.7298
0.0000 0.0000 0.5000
0.5000 0.0000 0.0000
0.5000 0.5000 0.5000
0.5000 0.5000 0.0000
0.5000 0.0000 0.5000
0.0000 0.5000 0.5000
0.0000 0.5000 0.0000
0.0000 0.0000 0.0000
```

SG	Im-3, No. 204
calculated volume	769	Å³ per cell

=====

Version ii
Entry from Alexandria via LeMat-Bulk: a geometry-optimized AcSm12Er7 structure (PBE).

The structure in POSCAR format:
```
AcSm12Er7
1.0
-1.3308 2.1470 8.4080
-8.5473 -1.9075 -0.6162
1.4138 -8.2700 2.5851
Sm Er Ac
12 7 1
direct
0.1404 0.4958 0.6247
0.7248 0.8589 0.2784
0.3753 0.8596 0.5042
0.1411 0.7216 0.2752
0.8596 0.5042 0.3753
0.4958 0.6247 0.1404
0.8589 0.2784 0.7248
0.5042 0.3753 0.8596
0.7216 0.2752 0.1411
0.2784 0.7248 0.8589
0.2752 0.1411 0.7216
0.6247 0.1404 0.4958
0.9400 0.8457 0.6117
0.6117 0.9400 0.8457
0.8457 0.6117 0.9400
0.1543 0.3883 0.0600
0.5000 0.5000 0.5000
0.3883 0.0600 0.1543
0.0600 0.1543 0.3883
0.0000 0.0000 0.0000
```

SG	R-3, No. 148
calculated volume	676	Å³ per cell

=====

Most favorable structure: version ii. The second most favorable one is 0.429 eV/atom above it.

=====

Version i
Entry from Alexandria via LeMat-Bulk: a geometry-optimized AcSm2Er4 structure (PBE).

The structure in POSCAR format:
```
AcSm2Er4
1.0
-1.1884 9.2120 2.7564
-1.4641 -0.5911 8.3994
7.2214 -2.3057 -6.0302
Er Ac Sm
8 2 4
direct
0.6409 0.0778 0.8195
0.9323 0.0822 0.2634
0.1069 0.5964 0.0959
0.3931 0.6011 0.5351
0.5217 0.5865 0.2340
0.2252 0.0886 0.6874
0.8120 0.5944 0.6714
0.3651 0.0855 0.4062
0.0876 0.0918 0.9838
0.9483 0.5862 0.3736
0.6684 0.5856 0.9469
0.7882 0.1026 0.5513
0.5128 0.0961 0.1261
0.2475 0.5752 0.8053
```

SG	P1, No. 1
calculated volume	471	Å³ per cell

=====

Version ii
Entry from Alexandria via LeMat-Bulk: a geometry-optimized AcSm2Er4 structure (PBE).

The structure in POSCAR format:
```
AcSm2Er4
1.0
-0.8726 -8.2052 0.7029
8.6280 2.3918 1.2039
-5.5878 1.7027 5.8978
Ac Sm Er
2 4 8
direct
0.1548 0.6735 0.4283
0.9999 0.9998 0.9044
0.3203 0.9500 0.1966
0.6449 0.5051 0.3701
0.8681 0.3390 0.9612
0.1158 0.1702 0.5689
0.6373 0.9400 0.5101
0.5811 0.3425 0.6702
0.5012 0.7330 0.8026
0.8182 0.7397 0.1270
0.3568 0.5146 0.0399
0.7801 0.1654 0.2727
0.0301 0.5713 0.7672
0.4413 0.1061 0.8808
```

SG	P1, No. 1
calculated volume	482	Å³ per cell

=====

Most favorable structure: version i. The second most favorable one is 0.103 eV/atom above it.

=====

Version i
Entry from Alexandria via LeMat-Bulk: a geometry-optimized AcSm8Er2 structure (PBE).

The structure in POSCAR format:
```
AcSm8Er2
1.0
4.9417 0.0000 -1.4205
-0.7709 7.6475 -2.6819
0.0847 0.7674 9.6004
Ac Sm Er
1 8 2
direct
0.5000 0.0000 0.0000
0.4067 0.5389 0.8133
0.0472 0.7228 0.0945
0.9528 0.2772 0.9055
0.6834 0.9092 0.3668
0.8600 0.8101 0.7199
0.5933 0.4611 0.1867
0.1400 0.1899 0.2801
0.3166 0.0908 0.6332
0.2285 0.6360 0.4570
0.7715 0.3640 0.5430
```

SG	C2/m, No. 12
calculated volume	375	Å³ per cell

=====

Version ii
Entry from Alexandria via LeMat-Bulk: a geometry-optimized AcSm8Er2 structure (PBE).

The structure in POSCAR format:
```
AcSm8Er2
1.0
5.5736 -0.4570 -0.3192
0.3736 10.0922 2.7097
0.3736 6.0173 8.5432
Sm Er Ac
8 2 1
direct
0.2713 0.1337 0.5933
0.7287 0.4067 0.8663
0.7287 0.8663 0.4067
0.2333 0.1905 0.1905
0.7590 0.4544 0.4544
0.2713 0.5933 0.1337
0.7667 0.8095 0.8095
0.2410 0.5456 0.5456
0.2489 0.7147 0.7147
0.7511 0.2853 0.2853
0.0000 0.0000 0.0000
```

SG	C2/m, No. 12
calculated volume	391	Å³ per cell

=====

Most favorable structure: version i. The second most favorable one is 0.094 eV/atom above it.

=====

Version i
Entry from Alexandria via LeMat-Bulk: a geometry-optimized AcSm4Er2 structure (PBE).

The structure in POSCAR format:
```
AcSm4Er2
1.0
6.5207 2.0962 -0.6934
1.8426 6.5969 -0.6934
-0.1743 -0.1812 6.3460
Sm Er Ac
4 2 1
direct
0.8377 0.8377 0.4910
0.5000 0.0000 0.0000
0.1623 0.1623 0.5090
0.0000 0.5000 0.0000
0.5416 0.5416 0.2654
0.4584 0.4584 0.7346
0.0000 0.0000 0.0000
```

SG	C2/m, No. 12
calculated volume	247	Å³ per cell

=====

Version ii
Entry from Alexandria via LeMat-Bulk: a geometry-optimized AcSm4Er2 structure (PBE).

The structure in POSCAR format:
```
AcSm4Er2
1.0
-2.7368 -2.2824 -0.8145
0.1043 -1.9496 -3.0905
8.9027 -16.6979 8.6724
Sm Er Ac
4 2 1
direct
0.7172 0.7172 0.8484
0.2828 0.2828 0.1516
0.1429 0.1429 0.5713
0.8571 0.8571 0.4287
0.5701 0.5701 0.2897
0.4299 0.4299 0.7103
0.0000 0.0000 0.0000
```

SG	R-3m, No. 166
calculated volume	240	Å³ per cell

=====

Most favorable structure: version ii. The second most favorable one is 0.203 eV/atom above it.